A plane-wave DFT calculation with PBE was carried out for PuZn6Si2 after structural relaxation.

Lattice parameters (Å, degrees): 3.968 3.968 9.292 90.00 90.00 90.00
Sites, in units of the cell vectors:
Zn (0.000, 0.500, 0.295)
Zn (0.500, 0.000, 0.295)
Zn (0.000, 0.500, 0.705)
Zn (0.500, 0.500, 0.500)
Zn (0.500, 0.000, 0.705)
Zn (0.000, 0.000, 0.500)
Si (0.500, 0.500, 0.126)
Si (0.500, 0.500, 0.874)
Pu (0.000, 0.000, 0.000)

Output
Density of states at the Fermi level in states/eV per atom: 1.150
Space-group type: P4/mmm
E_form (uncorrected) in eV/atom: -0.131
Total moment in μB per atom: 0.5942
ρ in kg/m³: 7863